VASP calculation (PBE-GGA) on NaHfTc2 after structural relaxation.

Properties
* SG: No. 122
* relative energy among the computed polymorphs: 356 meV per atom
* energy of formation: 1038 meV per atom

Cell lengths 7.3388, 7.3388, 5.4164 Å; angles 90.00, 90.00, 90.00 degrees
Sites, in units of the cell vectors:
Na 0.0000 0.0000 0.0000
Na 0.0000 0.5000 0.2500
Na 0.5000 0.0000 0.7500
Na 0.5000 0.5000 0.5000
Hf 0.0000 0.0000 0.5000
Hf 0.0000 0.5000 0.7500
Hf 0.5000 0.0000 0.2500
Hf 0.5000 0.5000 0.0000
Tc 0.2481 0.2500 0.6250
Tc 0.2500 0.7481 0.8750
Tc 0.2500 0.7519 0.3750
Tc 0.2519 0.2500 0.1250
Tc 0.7481 0.7500 0.1250
Tc 0.7500 0.2481 0.3750
Tc 0.7500 0.2519 0.8750
Tc 0.7519 0.7500 0.6250


VASP calculation (PBE-GGA) on NaHf2Tc2 after structural relaxation.

Properties
* SG: No. 139
* relative energy among the computed polymorphs: 330 meV per atom
* energy of formation: 504 meV per atom

Cell lengths 4.5257, 4.5257, 10.7693 Å; angles 90.00, 90.00, 90.00 degrees
Sites, in units of the cell vectors:
Na 0.0000 0.0000 0.0000
Na 0.5000 0.5000 0.5000
Hf 0.0000 0.5000 0.2500
Hf 0.0000 0.5000 0.7500
Hf 0.5000 0.0000 0.2500
Hf 0.5000 0.0000 0.7500
Tc 0.0000 0.0000 0.3853
Tc 0.0000 0.0000 0.6147
Tc 0.5000 0.5000 0.1147
Tc 0.5000 0.5000 0.8853


VASP calculation (PBE-GGA) on NaHf2Tc after structural relaxation.

Properties
* SG: No. 122
* energy of formation: 1007 meV per atom

Cell lengths 4.1896, 4.1896, 19.2690 Å; angles 90.00, 90.00, 90.00 degrees
Sites, in units of the cell vectors:
Na 0.0000 0.0000 0.0000
Na 0.0000 0.5000 0.2500
Na 0.5000 0.0000 0.7500
Na 0.5000 0.5000 0.5000
Hf 0.2289 0.2500 0.6250
Hf 0.2500 0.7289 0.8750
Hf 0.2500 0.7711 0.3750
Hf 0.2711 0.2500 0.1250
Hf 0.7289 0.7500 0.1250
Hf 0.7500 0.2289 0.3750
Hf 0.7500 0.2711 0.8750
Hf 0.7711 0.7500 0.6250
Tc 0.0000 0.0000 0.5000
Tc 0.0000 0.5000 0.7500
Tc 0.5000 0.0000 0.2500
Tc 0.5000 0.5000 0.0000


VASP calculation (PBE-GGA) on NaHfV2Tc after structural relaxation.

Properties
* SG: No. 123
* energy of formation: 2143 meV per atom

Cell lengths 4.5530, 4.5530, 4.8332 Å; angles 90.00, 90.00, 90.00 degrees
Sites, in units of the cell vectors:
Na 0.0000 0.0000 0.0000
Hf 0.0000 0.0000 0.5000
V 0.0000 0.5000 0.5000
V 0.5000 0.0000 0.5000
Tc 0.5000 0.5000 0.0000


VASP calculation (PBE-GGA) on Na2HfTcW after structural relaxation.

Properties
* SG: No. 123
* energy of formation: 2393 meV per atom

Cell lengths 5.3092, 5.3092, 4.8437 Å; angles 90.00, 90.00, 90.00 degrees
Sites, in units of the cell vectors:
Na 0.0000 0.5000 0.0000
Na 0.5000 0.0000 0.0000
Hf 0.0000 0.0000 0.0000
Tc 0.5000 0.5000 0.5000
W 0.0000 0.0000 0.5000


VASP calculation (PBE-GGA) on NaHf2ZrTc after structural relaxation.

Properties
* SG: No. 123
* energy of formation: 1330 meV per atom

Cell lengths 5.2759, 5.2759, 4.7495 Å; angles 90.00, 90.00, 90.00 degrees
Sites, in units of the cell vectors:
Na 0.0000 0.0000 0.0000
Hf 0.0000 0.5000 0.5000
Hf 0.5000 0.0000 0.5000
Zr 0.5000 0.5000 0.5000
Tc 0.5000 0.5000 0.0000


VASP calculation (PBE-GGA) on Na3HfTe after structural relaxation.

Properties
* SG: No. 221
* relative energy among the computed polymorphs: 506 meV per atom
* ΔE_f (raw): 5.50 eV/f.u.

Cell lengths 6.0005, 6.0005, 6.0005 Å; angles 90.00, 90.00, 90.00 degrees
Sites, in units of the cell vectors:
Na 0.0000 0.0000 0.5000
Na 0.0000 0.5000 0.0000
Na 0.5000 0.0000 0.0000
Hf 0.0000 0.0000 0.0000
Te 0.5000 0.5000 0.5000


VASP calculation (PBE-GGA) on NaHf3Te after structural relaxation.

Properties
* SG: No. 221
* relative energy among the computed polymorphs: 477 meV per atom
* ΔE_f (raw): 6.92 eV/f.u.

Cell lengths 4.9763, 4.9763, 4.9763 Å; angles 90.00, 90.00, 90.00 degrees
Sites, in units of the cell vectors:
Na 0.0000 0.0000 0.0000
Hf 0.0000 0.0000 0.5000
Hf 0.0000 0.5000 0.0000
Hf 0.5000 0.0000 0.0000
Te 0.5000 0.5000 0.5000